No. 1
Computed, not measured: crystalline AcTb2Ho at its relaxed geometry at the PBE level of DFT. Values from VASP.

Structure (Quantum ESPRESSO input):
```
&SYSTEM
  ibrav = 0, nat = 8, ntyp = 3
/
ATOMIC_SPECIES
Ac 227.00 Ac.upf
Tb 158.93 Tb.upf
Ho 164.93 Ho.upf
ATOMIC_POSITIONS crystal
Ac 0.2502 0.2500 0.4262
Ac 0.7498 0.7500 0.5738
Tb 0.2495 0.2500 0.7065
Tb 0.7505 0.7500 0.2935
Tb 0.2498 0.2500 0.9410
Tb 0.7502 0.7500 0.0590
Ho 0.2505 0.2500 0.1769
Ho 0.7495 0.7500 0.8231
CELL_PARAMETERS angstrom
-2.1268 0.7135 2.9082
2.3533 -1.8073 2.1643
10.3774 17.4669 3.3017
```

Properties
relative energy among the computed polymorphs: 0.0 meV per atom
ΔH_f (0 K): 0.221 eV/f.u.

=====

No. 2
Computed, not measured: crystalline Ac2TbHo at its relaxed geometry at the PBE level of DFT. Values from VASP.

Structure (Quantum ESPRESSO input):
```
&SYSTEM
  ibrav = 0, nat = 4, ntyp = 3
/
ATOMIC_SPECIES
Ac 227.00 Ac.upf
Tb 158.93 Tb.upf
Ho 164.93 Ho.upf
ATOMIC_POSITIONS crystal
Ac 0.0883 0.0883 0.7352
Ac 0.9117 0.9117 0.2648
Tb 0.5000 0.5000 0.5000
Ho 0.0000 0.0000 0.0000
CELL_PARAMETERS angstrom
-3.3463 -1.2045 -1.0242
-1.4926 -2.9514 1.6608
-7.1335 6.4025 9.0902
```

Properties
relative energy among the computed polymorphs: 205.0 meV per atom
ΔH_f (0 K): 1.012 eV/f.u.

=====

No. 3
Computed, not measured: crystalline AcTb3Ho7 at its relaxed geometry at the PBE level of DFT. Values from VASP.

Structure (Quantum ESPRESSO input):
```
&SYSTEM
  ibrav = 0, nat = 11, ntyp = 3
/
ATOMIC_SPECIES
Ac 227.00 Ac.upf
Tb 158.93 Tb.upf
Ho 164.93 Ho.upf
ATOMIC_POSITIONS crystal
Ac 0.5000 0.5000 0.5000
Tb 0.2238 0.0069 0.7241
Tb 0.0000 0.5000 0.0000
Tb 0.7762 0.9931 0.2759
Ho 0.9348 0.8328 0.9347
Ho 0.8315 0.6443 0.3314
Ho 0.6476 0.2883 0.1476
Ho 0.3524 0.7117 0.8524
Ho 0.5000 0.0000 0.5000
Ho 0.1685 0.3557 0.6686
Ho 0.0652 0.1672 0.0653
CELL_PARAMETERS angstrom
8.4484 -0.6267 -2.8707
-2.0874 9.6121 -0.6099
-1.9040 -0.0815 5.2408
```

Properties
relative energy among the computed polymorphs: 0.0 meV per atom
ΔH_f (0 K): 1.668 eV/f.u.

=====

No. 4
Computed, not measured: crystalline AcTb4Ho2 at its relaxed geometry at the PBE level of DFT. Values from VASP.

Structure (Quantum ESPRESSO input):
```
&SYSTEM
  ibrav = 0, nat = 14, ntyp = 3
/
ATOMIC_SPECIES
Ac 227.00 Ac.upf
Tb 158.93 Tb.upf
Ho 164.93 Ho.upf
ATOMIC_POSITIONS crystal
Ac 0.1919 0.5564 0.3935
Ac 0.1547 0.1076 0.1054
Tb 0.7387 0.0019 0.6723
Tb 0.6048 0.6640 0.8018
Tb 0.5907 0.2649 0.5359
Tb 0.6507 0.1022 0.1082
Tb 0.1069 0.6655 0.8054
Tb 0.8048 0.8399 0.2520
Tb 0.2889 0.4414 0.9827
Tb 0.2389 0.0002 0.6695
Ho 0.7000 0.5606 0.4000
Ho 0.0870 0.2617 0.5394
Ho 0.7822 0.4384 0.9820
Ho 0.3097 0.8454 0.2519
CELL_PARAMETERS angstrom
6.9025 -0.0640 -1.8963
-4.5847 7.7780 -3.2253
0.6142 -0.5192 8.9063
```

Properties
relative energy among the computed polymorphs: 0.0 meV per atom
ΔH_f (0 K): 0.354 eV/f.u.

=====

No. 5
Computed, not measured: crystalline AcTb3Ho2 at its relaxed geometry at the PBE level of DFT. Values from VASP.

Structure (Quantum ESPRESSO input):
```
&SYSTEM
  ibrav = 0, nat = 12, ntyp = 3
/
ATOMIC_SPECIES
Ac 227.00 Ac.upf
Tb 158.93 Tb.upf
Ho 164.93 Ho.upf
ATOMIC_POSITIONS crystal
Ac 0.0713 0.9287 0.2500
Ac 0.9287 0.0713 0.7500
Tb 0.1791 0.3582 0.5107
Tb 0.6418 0.8209 0.9893
Tb 0.8209 0.6418 0.4893
Tb 0.3582 0.1791 0.0107
Tb 0.4132 0.5868 0.2500
Tb 0.5868 0.4132 0.7500
Ho 0.8706 0.3825 0.1254
Ho 0.6175 0.1294 0.3746
Ho 0.1294 0.6175 0.8746
Ho 0.3825 0.8706 0.6254
CELL_PARAMETERS angstrom
6.7187 0.5151 -0.5265
-1.1216 6.6444 -0.5265
-0.5425 -0.6940 8.9975
```

Properties
relative energy among the computed polymorphs: 59.9 meV per atom
ΔH_f (0 K): 0.599 eV/f.u.

=====

No. 6
Computed, not measured: crystalline AcTb4Ho2 at its relaxed geometry at the PBE level of DFT. Values from VASP.

Structure (Quantum ESPRESSO input):
```
&SYSTEM
  ibrav = 0, nat = 14, ntyp = 3
/
ATOMIC_SPECIES
Ac 227.00 Ac.upf
Tb 158.93 Tb.upf
Ho 164.93 Ho.upf
ATOMIC_POSITIONS crystal
Ac 0.0865 0.4176 0.3824
Ac 0.2397 0.0921 0.9102
Tb 0.7948 0.9476 0.2269
Tb 0.4027 0.8624 0.4855
Tb 0.9188 0.7384 0.7823
Tb 0.7973 0.0301 0.7059
Tb 0.2305 0.1107 0.4186
Tb 0.5315 0.5014 0.0644
Tb 0.5360 0.6068 0.5904
Tb 0.9148 0.6478 0.2637
Ho 0.6676 0.3225 0.6461
Ho 0.4003 0.7990 0.0199
Ho 0.6504 0.2091 0.1319
Ho 0.0790 0.4645 0.8717
CELL_PARAMETERS angstrom
10.0403 -0.5161 1.6426
-1.1622 9.0841 -1.4150
-2.8357 -5.5421 5.5228
```

Properties
relative energy among the computed polymorphs: 23.1 meV per atom
ΔH_f (0 K): 0.516 eV/f.u.

=====

No. 7
Computed, not measured: crystalline AcTb5Ho2 at its relaxed geometry at the PBE level of DFT. Values from VASP.

Structure (Quantum ESPRESSO input):
```
&SYSTEM
  ibrav = 0, nat = 16, ntyp = 3
/
ATOMIC_SPECIES
Ac 227.00 Ac.upf
Tb 158.93 Tb.upf
Ho 164.93 Ho.upf
ATOMIC_POSITIONS crystal
Ac 0.0000 0.0000 0.5000
Ac 0.0000 0.5000 0.0000
Tb 0.0000 0.0000 0.0000
Tb 0.0000 0.5000 0.5000
Tb 0.0000 0.4990 0.7467
Tb 0.0000 0.5010 0.2533
Tb 0.0000 0.0010 0.2467
Tb 0.0000 0.9990 0.7533
Tb 0.5000 0.2456 0.8720
Tb 0.5000 0.7544 0.1280
Tb 0.5000 0.2544 0.3720
Tb 0.5000 0.7456 0.6280
Ho 0.5000 0.2529 0.6280
Ho 0.5000 0.7471 0.3720
Ho 0.5000 0.2471 0.1280
Ho 0.5000 0.7529 0.8720
CELL_PARAMETERS angstrom
-2.5754 -2.2430 -3.7528
5.3838 1.4820 -4.5804
6.2396 -12.6091 3.2543
```

Properties
ΔH_f (0 K): 0.295 eV/f.u.

=====

No. 8
Computed, not measured: crystalline Ac2Tb12Ho5 at its relaxed geometry at the PBE level of DFT. Values from VASP.

Structure (Quantum ESPRESSO input):
```
&SYSTEM
  ibrav = 0, nat = 19, ntyp = 3
/
ATOMIC_SPECIES
Ac 227.00 Ac.upf
Tb 158.93 Tb.upf
Ho 164.93 Ho.upf
ATOMIC_POSITIONS crystal
Ac 0.7157 0.0000 0.0000
Ac 0.2843 0.0000 0.0000
Tb 0.1094 0.2189 0.0090
Tb 0.0344 0.5858 0.7825
Tb 0.5514 0.5858 0.7825
Tb 0.1325 0.7936 0.3904
Tb 0.6612 0.7936 0.3904
Tb 0.4208 0.8415 0.6343
Tb 0.5792 0.1585 0.3657
Tb 0.8675 0.2064 0.6096
Tb 0.3388 0.2064 0.6096
Tb 0.9656 0.4142 0.2175
Tb 0.4486 0.4142 0.2175
Tb 0.8906 0.7811 0.9910
Ho 0.2184 0.4367 0.5578
Ho 0.3269 0.6539 0.1069
Ho 0.0000 0.0000 0.5000
Ho 0.6731 0.3461 0.8931
Ho 0.7816 0.5633 0.4422
CELL_PARAMETERS angstrom
-5.6258 10.1715 -0.1108
1.0662 -6.1456 -8.5473
-4.9921 -2.7323 2.6378
```

Properties
ΔH_f (0 K): 2.371 eV/f.u.

=====

Q: Which value of ΔH_f (0 K) does entry 1 give?
A: 0.221 eV/f.u.

=====

Q: Which formula does entry 1 have?
A: AcTb2Ho

=====

Q: What is the ΔH_f (0 K) in the first record?
A: 0.221 eV/f.u.

=====

Q: What is the formula in the fifth record?
A: AcTb3Ho2